Nd8GaPt2 | GGA-PBE | relaxed

abc: 5.874 8.037 8.037
angles: 114.09 97.71 97.71
Positions (direct):
Nd 0.586 0.330 0.078
Nd 0.809 0.639 0.639
Nd 0.380 0.924 0.668
Nd 0.992 0.763 0.234
Nd 0.992 0.234 0.763
Nd 0.380 0.668 0.924
Ga 0.091 0.010 0.010
Nd 0.190 0.384 0.384
Pt 0.497 0.311 0.693
Pt 0.497 0.693 0.311
Nd 0.586 0.078 0.330

Properties
mass density = 7.98 g/cm³
DOS at the Fermi energy = 13.29 states/eV/cell
formation energy = -0.420 eV per atom


Ba2NaMgPt | GGA-PBE | relaxed

abc: 6.153 6.153 5.580
angles: 90.00 90.00 90.00
Positions (direct):
Na 0.000 0.000 0.500
Ba 0.000 0.500 0.000
Ba 0.500 0.000 0.000
Pt 0.000 0.000 0.000
Mg 0.500 0.500 0.500

Properties
mass density = 4.06 g/cm³
DOS at the Fermi energy = 2.63 states/eV/cell
formation energy = -0.223 eV per atom
excess energy over the best structure of this formula in the dataset = 163 meV per atom


Ba7Sb2O2 | GGA-PBE | relaxed

abc: 9.072 7.111 9.072
angles: 98.08 74.92 81.92
Positions (direct):
Ba 0.918 0.677 0.365
Ba 0.371 0.790 0.629
O 0.790 0.888 0.210
Sb 0.311 0.500 0.311
Ba 0.082 0.323 0.635
Ba 0.629 0.210 0.371
Ba 0.635 0.677 0.082
O 0.210 0.112 0.790
Ba 0.000 0.000 0.000
Ba 0.365 0.323 0.918
Sb 0.689 0.500 0.689

Properties
mass density = 3.74 g/cm³
DOS at the Fermi energy = 5.96 states/eV/cell
uncorrected formation energy = -1235.7 meV/atom


Result set for total energy: -57.866, -13.917, -45.213 eV/cell, one per record in the order listed.